Entry from Alexandria via LeMat-Bulk: a relaxed Pm6Er2Tm crystal (PBE-GGA).

## Properties
total moment = 0.0000 μB per atom
calculated volume = 33.2 Å³/atom
formation energy from the elements = 0.130 eV per atom

Cell: 3.646 9.945 9.945 Å, 56.07 90.00 90.00°
Fractional positions:
Pm (0.000, 0.511, 0.159)
Pm (0.000, 0.841, 0.489)
Pm (0.000, 0.489, 0.841)
Pm (0.500, 0.685, 0.315)
Pm (0.000, 0.159, 0.511)
Pm (0.500, 0.315, 0.685)
Er (0.500, 0.177, 0.177)
Er (0.500, 0.823, 0.823)
Tm (0.000, 0.000, 0.000)

=====

Entry from Alexandria via LeMat-Bulk: a relaxed Pm2ErTm7 crystal (PBE-GGA).

## Properties
total moment = 0.0000 μB per atom
calculated volume = 31.8 Å³/atom
formation energy from the elements = 0.159 eV per atom

Cell: 3.485 14.610 14.610 Å, 154.67 90.00 90.00°
Fractional positions:
Pm (0.500, 0.709, 0.291)
Pm (0.500, 0.291, 0.709)
Er (0.000, 0.000, 0.000)
Tm (0.000, 0.816, 0.184)
Tm (0.000, 0.184, 0.816)
Tm (0.500, 0.148, 0.343)
Tm (0.500, 0.852, 0.657)
Tm (0.500, 0.343, 0.148)
Tm (0.500, 0.657, 0.852)
Tm (0.500, 0.500, 0.500)

=====

Entry from Alexandria via LeMat-Bulk: a relaxed Pm2ErTm12 crystal (PBE-GGA).

## Properties
total moment = 0.0001 μB per atom
calculated volume = 31.1 Å³/atom
formation energy from the elements = 0.107 eV per atom

Cell: 6.575 6.575 24.348 Å, 83.25 83.25 114.77°
Fractional positions:
Pm (0.539, 0.039, 0.280)
Pm (0.039, 0.539, 0.280)
Pm (0.961, 0.461, 0.720)
Pm (0.461, 0.961, 0.720)
Er (0.500, 0.000, 0.000)
Er (0.000, 0.500, 0.000)
Tm (0.394, 0.394, 0.809)
Tm (0.894, 0.894, 0.809)
Tm (0.549, 0.550, 0.934)
Tm (0.351, 0.851, 0.866)
Tm (0.002, 0.002, 0.330)
Tm (0.149, 0.649, 0.134)
Tm (0.822, 0.322, 0.572)
Tm (0.502, 0.502, 0.330)
Tm (0.050, 0.049, 0.934)
Tm (0.951, 0.950, 0.066)
Tm (0.334, 0.334, 0.555)
Tm (0.678, 0.178, 0.428)
Tm (0.998, 0.998, 0.670)
Tm (0.166, 0.166, 0.445)
Tm (0.450, 0.451, 0.066)
Tm (0.666, 0.666, 0.445)
Tm (0.834, 0.834, 0.555)
Tm (0.106, 0.106, 0.191)
Tm (0.321, 0.821, 0.572)
Tm (0.498, 0.498, 0.670)
Tm (0.850, 0.350, 0.866)
Tm (0.606, 0.606, 0.191)
Tm (0.179, 0.679, 0.428)
Tm (0.650, 0.150, 0.134)

=====

Entry from Alexandria via LeMat-Bulk: a relaxed Pm2Er4Tm7 crystal (PBE-GGA).

## Properties
total moment = 0.0000 μB per atom
calculated volume = 31.8 Å³/atom
formation energy from the elements = 0.194 eV per atom

Cell: 5.992 5.992 13.283 Å, 90.00 90.00 120.00°
Fractional positions:
Pm (0.667, 0.333, 0.000)
Pm (0.333, 0.667, 0.000)
Er (0.000, 0.000, 0.605)
Er (0.000, 0.000, 0.395)
Er (0.667, 0.333, 0.500)
Er (0.333, 0.667, 0.500)
Tm (0.000, 0.651, 0.785)
Tm (0.000, 0.349, 0.215)
Tm (0.000, 0.000, 0.000)
Tm (0.651, 0.000, 0.785)
Tm (0.349, 0.000, 0.215)
Tm (0.651, 0.651, 0.215)
Tm (0.349, 0.349, 0.785)

=====

Entry from Alexandria via LeMat-Bulk: a relaxed Pm10Er6Tm crystal (PBE-GGA).

## Properties
total moment = 0.0000 μB per atom
calculated volume = 33.3 Å³/atom
formation energy from the elements = 0.126 eV per atom

Cell: 6.859 9.761 9.761 Å, 120.00 90.00 90.00°
Fractional positions:
Pm (0.815, 0.726, 0.726)
Pm (0.815, 0.000, 0.274)
Pm (0.815, 0.274, 0.000)
Pm (0.185, 0.274, 0.274)
Pm (0.185, 0.000, 0.726)
Pm (0.185, 0.726, 0.000)
Pm (0.500, 0.333, 0.667)
Pm (0.500, 0.667, 0.333)
Pm (0.000, 0.667, 0.333)
Pm (0.000, 0.333, 0.667)
Er (0.691, 0.371, 0.371)
Er (0.691, 0.000, 0.629)
Er (0.691, 0.629, 0.000)
Er (0.309, 0.629, 0.629)
Er (0.309, 0.000, 0.371)
Er (0.309, 0.371, 0.000)
Tm (0.500, 0.000, 0.000)

=====

Entry from Alexandria via LeMat-Bulk: a relaxed Pm2Er4Tm crystal (PBE-GGA).

## Properties
total moment = 0.0001 μB per atom
calculated volume = 32.3 Å³/atom
formation energy from the elements = 0.157 eV per atom

Cell: 3.709 12.586 19.404 Å, 90.00 90.00 90.00°
Fractional positions:
Pm (0.000, 0.890, 0.831)
Pm (0.500, 0.611, 0.169)
Pm (0.000, 0.390, 0.669)
Pm (0.500, 0.111, 0.331)
Pm (0.000, 0.110, 0.169)
Pm (0.500, 0.389, 0.831)
Pm (0.000, 0.610, 0.331)
Pm (0.500, 0.889, 0.669)
Er (0.000, 0.732, 0.565)
Er (0.500, 0.768, 0.435)
Er (0.000, 0.232, 0.935)
Er (0.500, 0.268, 0.065)
Er (0.000, 0.268, 0.435)
Er (0.500, 0.232, 0.565)
Er (0.000, 0.768, 0.065)
Er (0.500, 0.732, 0.935)
Er (0.000, 0.107, 0.678)
Er (0.500, 0.393, 0.322)
Er (0.000, 0.607, 0.822)
Er (0.500, 0.893, 0.178)
Er (0.000, 0.893, 0.322)
Er (0.500, 0.607, 0.678)
Er (0.000, 0.393, 0.178)
Er (0.500, 0.107, 0.822)
Tm (0.000, 0.000, 0.500)
Tm (0.500, 0.500, 0.500)
Tm (0.000, 0.500, 0.000)
Tm (0.500, 0.000, 0.000)